ScTeOs2F: relaxed, PBE.

Cell: 4.8866 4.8866 4.2040 Å, 90.00 90.00 90.00°
Closest atoms and distances in Å follow each position.
Space group P4/mmm (No. 123)
Asymmetric unit:
Sc  0.0000  0.0000  0.0000  8 Os 3.22, 4 F 3.46
Te  0.5000  0.5000  0.5000  2 F 2.10
Os  0.0000  0.5000  0.5000  2 Te 2.44
F  0.5000  0.5000  0.0000  2 Te 2.10

Properties
Total moment   0.01 μB per formula unit
Electronic total energy   -6.182 eV per atom
E_form (uncorrected)   0.579 eV/atom

HfRu3F: relaxed, PBE.

Cell: 4.2195 4.2195 4.2195 Å, 90.00 90.00 90.00°
Closest atoms and distances in Å follow each position.
Space group Pm-3m (No. 221)
Asymmetric unit:
Hf  0.0000  0.0000  0.0000  12 Ru 2.98
Ru  0.0000  0.5000  0.5000  2 F 2.11
F  0.5000  0.5000  0.5000  6 Ru 2.11

Properties
Total moment   0.00 μB per formula unit
Electronic total energy   -7.539 eV per atom
Relative energy among the computed polymorphs   0.000 eV per atom
E_form (uncorrected)   0.391 eV/atom

Repeat the first record exactly.
ScTeOs2F: relaxed, PBE.

Cell: 4.8866 4.8866 4.2040 Å, 90.00 90.00 90.00°
Closest atoms and distances in Å follow each position.
Space group P4/mmm (No. 123)
Asymmetric unit:
Sc  0.0000  0.0000  0.0000  8 Os 3.22, 4 F 3.46
Te  0.5000  0.5000  0.5000  2 F 2.10
Os  0.0000  0.5000  0.5000  2 Te 2.44
F  0.5000  0.5000  0.0000  2 Te 2.10

Properties
Total moment   0.01 μB per formula unit
Electronic total energy   -6.182 eV per atom
E_form (uncorrected)   0.579 eV/atom

Among the records above, which one has the lowest electronic total energy?
HfRu3F

Please write out number 1 again, unchanged.
ScTeOs2F: relaxed, PBE.

Cell: 4.8866 4.8866 4.2040 Å, 90.00 90.00 90.00°
Closest atoms and distances in Å follow each position.
Space group P4/mmm (No. 123)
Asymmetric unit:
Sc  0.0000  0.0000  0.0000  8 Os 3.22, 4 F 3.46
Te  0.5000  0.5000  0.5000  2 F 2.10
Os  0.0000  0.5000  0.5000  2 Te 2.44
F  0.5000  0.5000  0.0000  2 Te 2.10

Properties
Total moment   0.01 μB per formula unit
Electronic total energy   -6.182 eV per atom
E_form (uncorrected)   0.579 eV/atom